Record 1
Computed, not measured: crystalline Tl2CrCd at its relaxed geometry at the GGA-PBEsol level of DFT.

Structure (extended XYZ):
```
4
Lattice="5.1250 0.0000 0.0000 0.0000 3.3144 0.0000 -2.1130 0.0000 5.1897" Properties=species:S:1:pos:R:3 pbc="T T T"
Tl 0.0000 0.0000 0.0000
Tl -1.0565 1.6572 2.5949
Cr 1.5060 0.0000 2.5949
Cd 2.5625 1.6572 0.0000
```

DOS(E_F)	2.48	states/eV/f.u.
final energy	-3.70	eV per atom
calculated formation energy	0.472	eV/atom
crystal system	monoclinic
mass density	10.8	g/cm³

Record 2
Computed, not measured: crystalline CrCdW2 at its relaxed geometry at the GGA-PBEsol level of DFT.

Structure (extended XYZ):
```
4
Lattice="4.6158 -1.3189 0.0000 4.6158 1.3189 0.0000 -0.5343 0.0000 5.0746" Properties=species:S:1:pos:R:3 pbc="T T T"
Cr 0.0000 0.0000 0.0000
Cd 1.9220 0.0000 3.8300
W 4.3530 0.0000 2.4844
W 6.7669 0.0000 1.2352
```

DOS(E_F)	2.77	states/eV/f.u.
final energy	-9.11	eV per atom
calculated formation energy	0.655	eV/atom
crystal system	monoclinic
mass density	14.3	g/cm³

Record 3
Computed, not measured: crystalline CrCdW2 at its relaxed geometry at the GGA-PBEsol level of DFT.

Structure (extended XYZ):
```
4
Lattice="2.7080 -4.4846 0.0000 2.7080 4.4846 0.0000 -0.8344 0.0000 2.5275" Properties=species:S:1:pos:R:3 pbc="T T T"
Cr 0.0000 0.0000 0.0000
Cd 2.7080 0.0000 0.0000
W 0.9368 2.2423 1.2638
W 0.9368 -2.2423 1.2638
```

DOS(E_F)	1.99	states/eV/f.u.
final energy	-9.18	eV per atom
calculated formation energy	0.580	eV/atom
crystal system	monoclinic
mass density	14.4	g/cm³

Record 4
Computed, not measured: crystalline CrCdW2 at its relaxed geometry at the GGA-PBEsol level of DFT.

Structure (extended XYZ):
```
4
Lattice="3.1286 0.0000 0.0000 0.0000 3.1286 0.0000 0.0000 0.0000 6.4585" Properties=species:S:1:pos:R:3 pbc="T T T"
Cr 0.0000 0.0000 0.0000
Cd 1.5643 1.5643 4.7264
W 0.0000 0.0000 2.8187
W 1.5643 1.5643 1.3193
```

DOS(E_F)	2.59	states/eV/f.u.
final energy	-9.29	eV per atom
calculated formation energy	0.474	eV/atom
crystal system	tetragonal
mass density	14.0	g/cm³

Record 5
Computed, not measured: crystalline CrCdW2 at its relaxed geometry at the GGA-PBEsol level of DFT.

Structure (extended XYZ):
```
4
Lattice="3.8312 0.0000 0.0000 0.0000 3.8312 0.0000 0.0000 0.0000 4.1599" Properties=species:S:1:pos:R:3 pbc="T T T"
Cr 0.0000 0.0000 0.0000
Cd 1.9156 1.9156 0.0000
W 0.0000 1.9156 2.0800
W 1.9156 0.0000 2.0800
```

DOS(E_F)	2.76	states/eV/f.u.
final energy	-9.15	eV per atom
calculated formation energy	0.613	eV/atom
crystal system	tetragonal
mass density	14.5	g/cm³

Record 6
Computed, not measured: crystalline Zn2CrCd at its relaxed geometry at the GGA-PBEsol level of DFT.

Structure (extended XYZ):
```
4
Lattice="4.0090 0.0000 0.0000 0.0000 4.0090 0.0000 0.0000 0.0000 3.7725" Properties=species:S:1:pos:R:3 pbc="T T T"
Zn 0.0000 2.0045 0.0000
Zn 2.0045 0.0000 0.0000
Cr 0.0000 0.0000 1.8863
Cd 2.0045 2.0045 1.8863
```

DOS(E_F)	2.80	states/eV/f.u.
final energy	-3.41	eV per atom
calculated formation energy	0.237	eV/atom
crystal system	tetragonal
mass density	8.1	g/cm³

Record 7
Computed, not measured: crystalline Zn2CrCd at its relaxed geometry at the GGA-PBEsol level of DFT.

Structure (extended XYZ):
```
4
Lattice="-1.9590 1.9590 4.1039 1.9590 -1.9590 4.1039 1.9590 1.9590 -4.1039" Properties=species:S:1:pos:R:3 pbc="T T T"
Zn 0.0000 0.0000 0.0000
Zn 0.0000 1.9590 2.0520
Cr 1.9590 0.0000 2.0520
Cd 0.0000 0.0000 4.1039
```

DOS(E_F)	1.93	states/eV/f.u.
final energy	-3.39	eV per atom
calculated formation energy	0.263	eV/atom
crystal system	tetragonal
mass density	7.8	g/cm³

Record 8
Computed, not measured: crystalline ZnCr2Cd at its relaxed geometry at the GGA-PBEsol level of DFT.

Structure (extended XYZ):
```
4
Lattice="2.5628 0.0000 0.0000 0.0000 2.5628 0.0000 0.0000 0.0000 8.3033" Properties=species:S:1:pos:R:3 pbc="T T T"
Zn 0.0000 0.0000 0.0000
Cr 1.2814 1.2814 1.9296
Cr 1.2814 1.2814 6.3738
Cd 0.0000 0.0000 4.1517
```

DOS(E_F)	3.25	states/eV/f.u.
final energy	-5.30	eV per atom
calculated formation energy	0.515	eV/atom
crystal system	tetragonal
mass density	8.6	g/cm³

Record 9
Computed, not measured: crystalline ZnCr2Cd at its relaxed geometry at the GGA-PBEsol level of DFT.

Structure (extended XYZ):
```
4
Lattice="2.5285 -4.2950 0.0000 2.5285 4.2950 0.0000 -0.4572 0.0000 2.5171" Properties=species:S:1:pos:R:3 pbc="T T T"
Zn 0.0000 0.0000 0.0000
Cr 1.0356 2.1475 1.2585
Cr 1.0356 -2.1475 1.2585
Cd 2.5285 0.0000 0.0000
```

DOS(E_F)	3.43	states/eV/f.u.
final energy	-5.29	eV per atom
calculated formation energy	0.525	eV/atom
crystal system	monoclinic
mass density	8.6	g/cm³

Record 10
Computed, not measured: crystalline ZnCr2Cd at its relaxed geometry at the GGA-PBEsol level of DFT.

Structure (extended XYZ):
```
4
Lattice="3.3999 0.0000 0.0000 0.0000 3.9853 0.0000 0.0000 0.0000 4.3566" Properties=species:S:1:pos:R:3 pbc="T T T"
Zn 0.0000 0.0000 0.0000
Cr 0.0000 1.9926 2.1783
Cr 1.6999 0.0000 2.1783
Cd 1.6999 1.9926 0.0000
```

DOS(E_F)	3.01	states/eV/f.u.
final energy	-5.40	eV per atom
calculated formation energy	0.420	eV/atom
crystal system	orthorhombic
mass density	7.9	g/cm³

Record 11
Computed, not measured: crystalline Zn3CrCd at its relaxed geometry at the GGA-PBEsol level of DFT.

Structure (extended XYZ):
```
5
Lattice="4.7634 0.0000 0.0000 0.0000 4.7634 0.0000 0.0000 0.0000 4.7634" Properties=species:S:1:pos:R:3 pbc="T T T"
Zn 0.0000 0.0000 2.3817
Zn 0.0000 2.3817 0.0000
Zn 2.3817 0.0000 0.0000
Cr 0.0000 0.0000 0.0000
Cd 2.3817 2.3817 2.3817
```

DOS(E_F)	2.86	states/eV/f.u.
final energy	-2.40	eV per atom
calculated formation energy	0.832	eV/atom
crystal system	cubic
mass density	5.5	g/cm³

Record 12
Computed, not measured: crystalline ZnCr2Cd at its relaxed geometry at the GGA-PBEsol level of DFT.

Structure (extended XYZ):
```
4
Lattice="-1.9621 1.9621 3.8766 1.9621 -1.9621 3.8766 1.9621 1.9621 -3.8766" Properties=species:S:1:pos:R:3 pbc="T T T"
Zn 0.0000 0.0000 0.0000
Cr 1.9621 0.0000 1.9383
Cr 0.0000 0.0000 3.8766
Cd 0.0000 1.9621 1.9383
```

DOS(E_F)	2.08	states/eV/f.u.
final energy	-5.40	eV per atom
calculated formation energy	0.411	eV/atom
crystal system	tetragonal
mass density	7.8	g/cm³

Record 13
Computed, not measured: crystalline Zr2CrCd at its relaxed geometry at the GGA-PBEsol level of DFT.

Structure (extended XYZ):
```
4
Lattice="1.5375 0.8877 9.5438 -1.5375 0.8877 9.5438 0.0000 -1.7754 9.5438" Properties=species:S:1:pos:R:3 pbc="T T T"
Zr 0.0000 0.0000 0.0000
Zr 0.0000 0.0000 6.9515
Cr 0.0000 0.0000 14.3855
Cd 0.0000 0.0000 21.6740
```

DOS(E_F)	4.47	states/eV/f.u.
final energy	-7.07	eV per atom
calculated formation energy	0.339	eV/atom
crystal system	trigonal
mass density	7.4	g/cm³

Record 14
Computed, not measured: crystalline Zr2CrCd at its relaxed geometry at the GGA-PBEsol level of DFT.

Structure (extended XYZ):
```
4
Lattice="3.1836 0.0000 0.0000 0.0000 3.1836 0.0000 0.0000 0.0000 7.5957" Properties=species:S:1:pos:R:3 pbc="T T T"
Zr 0.0000 0.0000 0.0000
Zr 1.5918 1.5918 2.1433
Cr 1.5918 1.5918 5.9738
Cd 0.0000 0.0000 4.2791
```

DOS(E_F)	3.15	states/eV/f.u.
final energy	-7.23	eV per atom
calculated formation energy	0.175	eV/atom
crystal system	tetragonal
mass density	7.5	g/cm³

Record 15
Computed, not measured: crystalline CsCd3Cu at its relaxed geometry at the GGA-PBEsol level of DFT.

Structure (extended XYZ):
```
5
Lattice="5.1641 0.0000 0.0000 0.0000 5.1641 0.0000 0.0000 0.0000 5.1641" Properties=species:S:1:pos:R:3 pbc="T T T"
Cs 0.0000 0.0000 0.0000
Cd 0.0000 2.5821 2.5821
Cd 2.5821 0.0000 2.5821
Cd 2.5821 2.5821 0.0000
Cu 2.5821 2.5821 2.5821
```

DOS(E_F)	1.82	states/eV/f.u.
final energy	-1.67	eV per atom
calculated formation energy	0.099	eV/atom
crystal system	cubic
mass density	6.4	g/cm³

Record 16
Computed, not measured: crystalline CsCdCu2H at its relaxed geometry at the GGA-PBEsol level of DFT.

Structure (extended XYZ):
```
5
Lattice="5.4059 0.0000 0.0000 0.0000 5.4059 0.0000 0.0000 0.0000 3.8400" Properties=species:S:1:pos:R:3 pbc="T T T"
Cs 0.0000 0.0000 0.0000
Cd 2.7029 2.7029 1.9200
Cu 0.0000 2.7029 0.0000
Cu 2.7029 0.0000 0.0000
H 0.0000 0.0000 1.9200
```

DOS(E_F)	2.98	states/eV/f.u.
final energy	-1.41	eV per atom
crystal system	tetragonal
mass density	5.5	g/cm³

Record 17
Computed, not measured: crystalline CsDyCdSe3 at its relaxed geometry at the GGA-PBEsol level of DFT.

Structure (extended XYZ):
```
12
Lattice="2.1044 -7.9247 0.0000 2.1044 7.9247 0.0000 0.0000 0.0000 10.9520" Properties=species:S:1:pos:R:3 pbc="T T T"
Cs 2.1044 4.0402 8.2140
Cs 2.1044 -4.0402 2.7380
Dy 2.1044 0.0000 0.0000
Dy 2.1044 0.0000 5.4760
Cd 2.1044 7.2869 2.7380
Cd 2.1044 -7.2869 8.2140
Se 2.1044 6.0200 0.4832
Se 2.1044 6.0200 4.9928
Se 2.1044 0.9864 2.7380
Se 2.1044 -0.9864 8.2140
Se 2.1044 -6.0200 5.9592
Se 2.1044 -6.0200 10.4689
```

DOS(E_F)	0.00	states/eV/f.u.
final energy	-4.47	eV per atom
crystal system	orthorhombic
mass density	5.9	g/cm³

Record 18
Computed, not measured: crystalline CsErCdTe3 at its relaxed geometry at the GGA-PBEsol level of DFT.

Structure (extended XYZ):
```
12
Lattice="2.2114 -8.3837 0.0000 2.2114 8.3837 0.0000 0.0000 0.0000 11.5641" Properties=species:S:1:pos:R:3 pbc="T T T"
Cs 2.2114 4.2105 8.6731
Cs 2.2114 -4.2105 2.8910
Er 0.0000 0.0000 0.0000
Er 0.0000 0.0000 5.7821
Cd 2.2114 0.6543 2.8910
Cd 2.2114 -0.6543 8.6731
Te 2.2114 7.2704 2.8910
Te 2.2114 2.0634 0.5012
Te 2.2114 2.0634 5.2809
Te 2.2114 -2.0634 6.2833
Te 2.2114 -2.0634 11.0629
Te 2.2114 -7.2704 8.6731
```

DOS(E_F)	0.00	states/eV/f.u.
final energy	-3.99	eV per atom
crystal system	orthorhombic
mass density	6.2	g/cm³

Record 19
Computed, not measured: crystalline CsCdF3 at its relaxed geometry at the GGA-PBEsol level of DFT.

Structure (extended XYZ):
```
5
Lattice="4.4675 0.0000 0.0000 0.0000 4.4675 0.0000 0.0000 0.0000 4.4675" Properties=species:S:1:pos:R:3 pbc="T T T"
Cs 0.0000 0.0000 0.0000
Cd 2.2337 2.2337 2.2337
F 0.0000 2.2337 2.2337
F 2.2337 0.0000 2.2337
F 2.2337 2.2337 0.0000
```

DOS(E_F)	0.00	states/eV/f.u.
final energy	-4.04	eV per atom
crystal system	cubic
mass density	5.6	g/cm³

Record 20
Computed, not measured: crystalline Cs3CdF at its relaxed geometry at the GGA-PBEsol level of DFT.

Structure (extended XYZ):
```
5
Lattice="5.9509 0.0000 0.0000 0.0000 5.9509 0.0000 0.0000 0.0000 5.9509" Properties=species:S:1:pos:R:3 pbc="T T T"
Cs 0.0000 0.0000 2.9755
Cs 0.0000 2.9755 0.0000
Cs 2.9755 0.0000 0.0000
Cd 2.9755 2.9755 2.9755
F 0.0000 0.0000 0.0000
```

DOS(E_F)	3.30	states/eV/f.u.
final energy	-2.20	eV per atom
crystal system	cubic
mass density	4.2	g/cm³

Record 21
Computed, not measured: crystalline CsCd3F at its relaxed geometry at the GGA-PBEsol level of DFT.

Structure (extended XYZ):
```
5
Lattice="5.3905 0.0000 0.0000 0.0000 5.3905 0.0000 0.0000 0.0000 5.3905" Properties=species:S:1:pos:R:3 pbc="T T T"
Cs 0.0000 0.0000 0.0000
Cd 0.0000 2.6953 2.6953
Cd 2.6953 0.0000 2.6953
Cd 2.6953 2.6953 0.0000
F 2.6953 2.6953 2.6953
```

DOS(E_F)	0.60	states/eV/f.u.
final energy	-1.63	eV per atom
crystal system	cubic
mass density	5.2	g/cm³

Record 22
Computed, not measured: crystalline CsCdO2F at its relaxed geometry at the GGA-PBEsol level of DFT.

Structure (extended XYZ):
```
5
Lattice="4.3532 0.0000 0.0000 0.0000 4.3532 0.0000 0.0000 0.0000 5.1674" Properties=species:S:1:pos:R:3 pbc="T T T"
Cs 0.0000 0.0000 0.0000
Cd 2.1766 2.1766 2.5837
O 0.0000 2.1766 0.0000
O 2.1766 0.0000 0.0000
F 0.0000 0.0000 2.5837
```

DOS(E_F)	2.25	states/eV/f.u.
final energy	-2.89	eV per atom
crystal system	tetragonal
mass density	5.0	g/cm³

Record 23
Computed, not measured: crystalline Cs3CdFe at its relaxed geometry at the GGA-PBEsol level of DFT.

Structure (extended XYZ):
```
5
Lattice="6.4629 0.0000 0.0000 0.0000 6.4629 0.0000 0.0000 0.0000 6.4629" Properties=species:S:1:pos:R:3 pbc="T T T"
Cs 0.0000 0.0000 3.2315
Cs 0.0000 3.2315 0.0000
Cs 3.2315 0.0000 0.0000
Cd 3.2315 3.2315 3.2315
Fe 0.0000 0.0000 0.0000
```

DOS(E_F)	6.50	states/eV/f.u.
final energy	-1.74	eV per atom
calculated formation energy	0.858	eV/atom
crystal system	cubic
mass density	3.5	g/cm³

Record 24
Computed, not measured: crystalline CsGdCdTe3 at its relaxed geometry at the GGA-PBEsol level of DFT.

Structure (extended XYZ):
```
12
Lattice="2.2395 -8.3598 0.0000 2.2395 8.3598 0.0000 0.0000 0.0000 11.6733" Properties=species:S:1:pos:R:3 pbc="T T T"
Cs 2.2395 4.1900 8.7550
Cs 2.2395 -4.1900 2.9183
Gd 0.0000 0.0000 0.0000
Gd 0.0000 0.0000 5.8367
Cd 2.2395 0.6318 2.9183
Cd 2.2395 -0.6318 8.7550
Te 2.2395 7.2351 2.9183
Te 2.2395 2.0848 0.5450
Te 2.2395 2.0848 5.2917
Te 2.2395 -2.0848 6.3817
Te 2.2395 -2.0848 11.1283
Te 2.2395 -7.2351 8.7550
```

final energy	-5.61	eV per atom
crystal system	orthorhombic
mass density	6.0	g/cm³

Record 25
Computed, not measured: crystalline CsCd2Ge2 at its relaxed geometry at the GGA-PBEsol level of DFT.

Structure (extended XYZ):
```
5
Lattice="-2.4066 2.4066 5.5343 2.4066 -2.4066 5.5343 2.4066 2.4066 -5.5343" Properties=species:S:1:pos:R:3 pbc="T T T"
Cs 0.0000 0.0000 0.0000
Cd 2.4066 0.0000 2.7671
Cd 0.0000 2.4066 2.7671
Ge 0.0000 0.0000 4.2534
Ge 0.0000 0.0000 6.8152
```

DOS(E_F)	1.88	states/eV/f.u.
final energy	-2.69	eV per atom
calculated formation energy	-0.046	eV/atom
crystal system	tetragonal
mass density	6.5	g/cm³

Record 26
Computed, not measured: crystalline CsCdGeH2 at its relaxed geometry at the GGA-PBEsol level of DFT.

Structure (extended XYZ):
```
5
Lattice="4.5872 0.0000 0.0000 0.0000 4.5872 0.0000 0.0000 0.0000 6.2673" Properties=species:S:1:pos:R:3 pbc="T T T"
Cs 0.0000 0.0000 0.0000
Cd 2.2936 2.2936 0.0000
Ge 0.0000 0.0000 3.1336
H 0.0000 2.2936 3.1336
H 2.2936 0.0000 3.1336
```

DOS(E_F)	0.79	states/eV/f.u.
final energy	-1.94	eV per atom
crystal system	tetragonal
mass density	4.0	g/cm³